[1]
DFT (GGA-PBE) results for PIr2Pd2 after structural relaxation.

POSCAR file:
```
PIr2Pd2
1.0
5.964 0.000 0.000
0.000 5.964 0.000
0.000 0.000 4.404
P Ir Pd
2 4 4
direct
0.000 0.000 0.000
0.500 0.500 0.000
0.350 0.850 0.000
0.850 0.650 0.000
0.650 0.150 0.000
0.150 0.350 0.000
0.168 0.668 0.500
0.668 0.832 0.500
0.832 0.332 0.500
0.332 0.168 0.500
```

Summary:
- E: -6.711 eV/atom
- Magnetic moment: 0.00 μB per formula unit
- Energy of formation from the pure elements: -0.0074 eV/atom
- DOS at the Fermi energy: 6.5 states/eV/f.u.

=====

[2]
DFT (GGA-PBE) results for Er12In5Ga2 after structural relaxation.

POSCAR file:
```
Er12In5Ga2
1.0
-0.435 -4.883 4.918
8.694 2.934 -1.219
-0.338 6.378 6.304
Er In Ga
12 5 2
direct
0.964 0.928 0.185
0.089 0.687 0.933
0.598 0.687 0.933
0.099 0.695 0.519
0.596 0.695 0.519
0.500 0.001 0.695
0.500 0.999 0.305
0.901 0.305 0.481
0.404 0.305 0.481
0.911 0.313 0.067
0.402 0.313 0.067
0.036 0.072 0.815
0.224 0.449 0.754
0.295 0.590 0.242
0.000 0.000 0.500
0.705 0.410 0.758
0.776 0.551 0.246
0.674 0.000 0.000
0.326 0.000 0.000
```

Summary:
- E: -4.172 eV/atom
- Magnetic moment: 0.00 μB per formula unit
- Energy of formation from the pure elements: -0.2514 eV/atom
- DOS at the Fermi energy: 18.5 states/eV/f.u.

=====

[3]
DFT (GGA-PBE) results for LiTcAg2 after structural relaxation.

POSCAR file:
```
LiTcAg2
1.0
-3.723 -0.741 3.104
-4.452 -1.883 0.825
1.660 -4.615 1.783
Ag Li Tc
2 1 1
direct
0.003 0.003 0.002
0.497 0.497 0.498
0.250 0.250 0.250
0.750 0.750 0.750
```

Summary:
- E: -4.107 eV/atom
- Magnetic moment: 0.90 μB per formula unit
- Energy of formation from the pure elements: 0.3884 eV/atom
- DOS at the Fermi energy: 2.5 states/eV/f.u.

=====

[4]
DFT (GGA-PBE) results for Nd2YCu after structural relaxation.

POSCAR file:
```
Nd2YCu
1.0
-3.261 3.423 4.538
4.236 -2.591 4.999
6.272 7.717 -1.315
Nd Y Cu
8 4 4
direct
0.179 0.695 0.060
0.321 0.195 0.440
0.821 0.305 0.560
0.679 0.805 0.940
0.821 0.305 0.940
0.679 0.805 0.560
0.179 0.695 0.440
0.321 0.195 0.060
0.641 0.526 0.250
0.859 0.026 0.250
0.359 0.474 0.750
0.141 0.974 0.750
0.054 0.400 0.250
0.446 0.900 0.250
0.946 0.600 0.750
0.554 0.100 0.750
```

Summary:
- E: -5.095 eV/atom
- Magnetic moment: 0.00 μB per formula unit
- Energy of formation from the pure elements: -0.0715 eV/atom
- DOS at the Fermi energy: 4.4 states/eV/f.u.

=====

[5]
DFT (GGA-PBE) results for Tb2Pr3In3 after structural relaxation.

POSCAR file:
```
Tb2Pr3In3
1.0
4.472 0.000 0.000
0.000 5.095 0.000
-2.236 -2.548 10.576
Tb Pr In
2 3 3
direct
0.737 0.237 0.474
0.263 0.763 0.526
0.621 0.621 0.241
0.379 0.379 0.759
0.500 0.000 0.000
0.129 0.129 0.258
0.000 0.500 0.000
0.871 0.871 0.742
```

Summary:
- E: -4.332 eV/atom
- Magnetic moment: 0.00 μB per formula unit
- Energy of formation from the pure elements: -0.3547 eV/atom
- DOS at the Fermi energy: 8.7 states/eV/f.u.

=====

[6]
DFT (GGA-PBE) results for MnVNiPd after structural relaxation.

POSCAR file:
```
MnVNiPd
1.0
4.211 0.000 0.000
2.105 3.647 0.000
2.105 1.216 3.438
Ni Mn Pd V
1 1 1 1
direct
0.250 0.250 0.250
0.750 0.750 0.750
0.500 0.500 0.500
0.000 0.000 0.000
```

Summary:
- E: -7.370 eV/atom
- Magnetic moment: 1.70 μB per formula unit
- Energy of formation from the pure elements: -0.0549 eV/atom
- DOS at the Fermi energy: 4.5 states/eV/f.u.